1) Computed, not measured: a relaxed LiAlRu3 crystal at the PBE level of DFT.

Lattice parameters (Å, degrees): 4.104 4.104 4.104 90.00 90.00 90.00
Each line ends with the local moment (μB).
Element x y z (fractional)
1 Li 0.000 0.000 0.000  -0.01
2 Al 0.500 0.500 0.500  -0.02
3 Ru 0.500 0.000 0.000  0.43
4 Ru 0.000 0.000 0.500  0.52
5 Ru 0.000 0.500 0.000  0.60

2) Computed, not measured: a relaxed LiAlRu3 crystal at the PBE level of DFT.

Lattice parameters (Å, degrees): 4.483 4.483 4.483 90.00 90.00 90.00
Each line ends with the local moment (μB).
Element x y z (fractional)
1 Li 0.500 0.500 0.500  -0.01
2 Ru 0.000 0.000 0.500  0.72
3 Ru 0.000 0.500 0.000  0.80
4 Ru 0.500 0.000 0.000  0.66
5 Al 0.000 0.000 0.000  -0.02

Q: Which of them is the most stable? A: 1).

1) Computed, not measured: a relaxed Li3AlRu crystal at the PBE level of DFT.

Lattice parameters (Å, degrees): 4.515 4.515 4.515 90.00 90.00 90.00
Each line ends with the local moment (μB).
Element x y z (fractional)
1 Ru 0.500 0.500 0.500  1.86
2 Li 0.500 0.000 0.000  -0.01
3 Li 0.000 0.500 0.000  -0.01
4 Li 0.000 0.000 0.500  -0.02
5 Al 0.000 0.000 0.000  -0.02

2) Computed, not measured: a relaxed Li3AlRu crystal at the PBE level of DFT.

Lattice parameters (Å, degrees): 4.539 4.539 4.539 90.00 90.00 90.00
Element x y z (fractional)
1 Ru 0.000 0.000 0.000
2 Li 0.500 0.000 0.000
3 Li 0.000 0.000 0.500
4 Li 0.000 0.500 0.000
5 Al 0.500 0.500 0.500

Q: Which of them is the most stable? A: 2).

1) Computed, not measured: a relaxed Li3AlS crystal at the PBE level of DFT.

Lattice parameters (Å, degrees): 4.880 4.880 4.880 90.00 90.00 90.00
Each line ends with the local moment (μB).
Element x y z (fractional)
1 Li 0.000 0.000 0.500  0.05
2 Li 0.500 0.000 0.000  0.03
3 Li 0.000 0.500 0.000  0.03
4 S 0.500 0.500 0.500  0.03
5 Al 0.000 0.000 0.000  0.26

2) Computed, not measured: a relaxed Li3AlS crystal at the PBE level of DFT.

Lattice parameters (Å, degrees): 4.600 4.600 4.600 90.00 90.00 90.00
Element x y z (fractional)
1 Al 0.500 0.500 0.500
2 Li 0.500 0.000 0.000
3 Li 0.000 0.000 0.500
4 Li 0.000 0.500 0.000
5 S 0.000 0.000 0.000

Q: Which of them is the most stable? A: 2).

1) Computed, not measured: a relaxed Li3AlSb crystal at the PBE level of DFT.

Lattice parameters (Å, degrees): 5.115 5.115 5.115 90.00 90.00 90.00
Element x y z (fractional)
1 Li 0.000 0.000 0.500
2 Li 0.000 0.500 0.000
3 Li 0.500 0.000 0.000
4 Sb 0.000 0.000 0.000
5 Al 0.500 0.500 0.500

2) Computed, not measured: a relaxed Li3AlSb crystal at the PBE level of DFT.

Lattice parameters (Å, degrees): 4.830 4.830 4.830 90.00 90.00 90.00
Element x y z (fractional)
1 Sb 0.500 0.500 0.500
2 Li 0.000 0.500 0.000
3 Li 0.000 0.000 0.500
4 Li 0.500 0.000 0.000
5 Al 0.000 0.000 0.000

Q: Which of them is the most stable? A: 1).

1) Computed, not measured: a relaxed LiScAl3 crystal at the PBE level of DFT.

Lattice parameters (Å, degrees): 5.293 5.293 5.293 90.00 90.00 90.00
Element x y z (fractional)
1 Al 0.500 0.000 0.000
2 Al 0.000 0.500 0.000
3 Al 0.000 0.000 0.500
4 Li 0.500 0.500 0.500
5 Sc 0.000 0.000 0.000

2) Computed, not measured: a relaxed LiScAl3 crystal at the PBE level of DFT.

Lattice parameters (Å, degrees): 4.455 4.455 4.455 90.00 90.00 90.00
Element x y z (fractional)
1 Al 0.000 0.000 0.500
2 Al 0.500 0.000 0.000
3 Al 0.000 0.500 0.000
4 Sc 0.500 0.500 0.500
5 Li 0.000 0.000 0.000

Q: Which of them is the most stable? A: 2).

1) Computed, not measured: a relaxed LiAlSe crystal at the PBE level of DFT.

Lattice parameters (Å, degrees): 3.659 3.659 5.489 90.00 90.00 120.00
Element x y z (fractional)
1 Li 0.667 0.333 0.704
2 Se 0.333 0.667 0.015
3 Al 0.000 0.000 0.281

2) Computed, not measured: a relaxed LiAlSe crystal at the PBE level of DFT.

Lattice parameters (Å, degrees): 4.426 4.426 4.426 60.00 60.00 60.00
Element x y z (fractional)
1 Li 0.750 0.750 0.750
2 Al 0.500 0.500 0.500
3 Se 0.000 0.000 0.000

Q: Which of them is the most stable? A: 1).

1) Computed, not measured: a relaxed LiAlSe crystal at the PBE level of DFT.

Lattice parameters (Å, degrees): 5.392 5.392 4.906 90.00 90.00 90.00
Element x y z (fractional)
1 Al 0.000 0.000 0.500
2 Al 0.500 0.500 0.500
3 Li 0.000 0.500 0.901
4 Li 0.500 0.000 0.099
5 Se 0.000 0.500 0.397
6 Se 0.500 0.000 0.603

2) Computed, not measured: a relaxed LiAlSe crystal at the PBE level of DFT.

Lattice parameters (Å, degrees): 5.903 5.902 3.386 73.34 73.32 33.34
Element x y z (fractional)
1 Li 0.322 0.322 0.678
2 Se 0.648 0.648 0.352
3 Al 0.030 0.030 0.970

Q: Which of them is the most stable? A: 2).

1) Computed, not measured: a relaxed LiAlSe3 crystal at the PBE level of DFT.

Lattice parameters (Å, degrees): 4.726 4.726 4.726 90.00 90.00 90.00
Element x y z (fractional)
1 Se 0.500 0.000 0.000
2 Se 0.000 0.000 0.500
3 Se 0.000 0.500 0.000
4 Al 0.500 0.500 0.500
5 Li 0.000 0.000 0.000

2) Computed, not measured: a relaxed LiAlSe3 crystal at the PBE level of DFT.

Lattice parameters (Å, degrees): 4.959 4.959 4.959 90.00 90.00 90.00
Element x y z (fractional)
1 Se 0.500 0.000 0.000
2 Se 0.000 0.500 0.000
3 Se 0.000 0.000 0.500
4 Li 0.500 0.500 0.500
5 Al 0.000 0.000 0.000

Q: Which of them is the most stable? A: 2).

1) Computed, not measured: a relaxed Li3AlSe3 crystal at the PBE level of DFT.

Lattice parameters (Å, degrees): 7.094 7.094 6.705 92.78 92.78 116.78
Element x y z (fractional)
1 Li 0.819 0.181 0.500
2 Li 0.245 0.755 0.000
3 Li 0.556 0.556 0.313
4 Li 0.444 0.444 0.687
5 Li 0.181 0.819 0.500
6 Li 0.755 0.245 0.000
7 Se 0.875 0.875 0.229
8 Se 0.518 0.842 0.735
9 Se 0.842 0.518 0.735
10 Se 0.158 0.482 0.265
11 Se 0.125 0.125 0.771
12 Se 0.482 0.158 0.265
13 Al 0.182 0.182 0.135
14 Al 0.818 0.818 0.865

2) Computed, not measured: a relaxed Li3AlSe3 crystal at the PBE level of DFT.

Lattice parameters (Å, degrees): 6.807 7.607 11.635 94.05 90.00 90.00
Element x y z (fractional)
1 Li 0.215 0.650 0.163
2 Li 0.280 0.423 0.392
3 Li 0.720 0.577 0.608
4 Li 0.811 0.863 0.841
5 Li 0.189 0.137 0.159
6 Li 0.220 0.423 0.892
7 Li 0.780 0.577 0.108
8 Li 0.311 0.137 0.659
9 Li 0.785 0.350 0.837
10 Li 0.285 0.650 0.663
11 Li 0.689 0.863 0.341
12 Li 0.715 0.350 0.337
13 Se 0.547 0.608 0.821
14 Se 0.466 0.107 0.865
15 Se 0.534 0.893 0.135
16 Se 0.064 0.734 0.974
17 Se 0.034 0.107 0.365
18 Se 0.564 0.266 0.526
19 Se 0.453 0.392 0.179
20 Se 0.047 0.392 0.679
21 Se 0.966 0.893 0.635
22 Se 0.936 0.266 0.026
23 Se 0.953 0.608 0.321
24 Se 0.436 0.734 0.474
25 Al 0.113 0.826 0.444
26 Al 0.387 0.826 0.944
27 Al 0.613 0.174 0.056
28 Al 0.887 0.174 0.556

Q: Which of them is the most stable? A: 2).

1) Computed, not measured: a relaxed LiAl3Se crystal at the PBE level of DFT.

Lattice parameters (Å, degrees): 5.080 5.080 5.080 90.00 90.00 90.00
Element x y z (fractional)
1 Se 0.000 0.000 0.000
2 Li 0.500 0.500 0.500
3 Al 0.000 0.000 0.500
4 Al 0.000 0.500 0.000
5 Al 0.500 0.000 0.000

2) Computed, not measured: a relaxed LiAl3Se crystal at the PBE level of DFT.

Lattice parameters (Å, degrees): 4.628 4.628 4.628 90.00 90.00 90.00
Element x y z (fractional)
1 Al 0.500 0.000 0.000
2 Al 0.000 0.500 0.000
3 Al 0.000 0.000 0.500
4 Li 0.000 0.000 0.000
5 Se 0.500 0.500 0.500

Q: Which of them is the most stable? A: 2).

1) Computed, not measured: a relaxed LiAl3Si crystal at the PBE level of DFT.

Lattice parameters (Å, degrees): 4.458 4.458 4.458 90.00 90.00 90.00
Element x y z (fractional)
1 Al 0.000 0.000 0.500
2 Al 0.000 0.500 0.000
3 Al 0.500 0.000 0.000
4 Si 0.500 0.500 0.500
5 Li 0.000 0.000 0.000

2) Computed, not measured: a relaxed LiAl3Si crystal at the PBE level of DFT.

Lattice parameters (Å, degrees): 4.866 4.866 4.866 90.00 90.00 90.00
Element x y z (fractional)
1 Al 0.000 0.500 0.000
2 Al 0.500 0.000 0.000
3 Al 0.000 0.000 0.500
4 Li 0.500 0.500 0.500
5 Si 0.000 0.000 0.000

Q: Which of them is the most stable? A: 2).

1) Computed, not measured: a relaxed SrLiAlSi2 crystal at the PBE level of DFT.

Lattice parameters (Å, degrees): 4.349 4.349 6.099 110.89 110.89 90.00
Element x y z (fractional)
1 Si 0.386 0.386 0.772
2 Si 0.614 0.614 0.228
3 Al 0.750 0.250 0.500
4 Li 0.250 0.750 0.500
5 Sr 0.000 0.000 0.000

2) Computed, not measured: a relaxed SrLiAlSi2 crystal at the PBE level of DFT.

Lattice parameters (Å, degrees): 4.864 5.603 4.864 90.00 90.00 90.00
Element x y z (fractional)
1 Li 0.500 0.500 0.500
2 Al 0.000 0.000 0.000
3 Sr 0.000 0.500 0.000
4 Si 0.500 0.000 0.000
5 Si 0.000 0.000 0.500

Q: Which of them is the most stable? A: 1).